1.
# PH5I2

A relaxed structure of PH5I2 (PBE, the Alexandria database). Values from VASP.

Properties
**Space-group type**: P1
**VASP energy**: -3.23 eV per atom
**Density**: 2.54 g cm⁻³
**Fermi-level density of states**: 0.0 states/eV/f.u.

Quantum ESPRESSO input file:
```
&SYSTEM
  ibrav = 0, nat = 8, ntyp = 3
/
ATOMIC_SPECIES
P 30.97 P.upf
H 1.01 H.upf
I 126.90 I.upf
ATOMIC_POSITIONS crystal
P 0.000 0.000 0.000
H 0.160 0.792 0.021
H 0.168 0.207 0.989
H 0.741 0.942 0.162
H 0.923 0.736 0.654
H 0.953 0.058 0.815
I 0.177 0.958 0.438
I 0.618 0.518 0.938
CELL_PARAMETERS angstrom
5.023 0.000 0.000
0.048 5.694 0.000
2.427 2.514 6.626
```

2.
# PH3I

A relaxed structure of PH3I (PBE, the Alexandria database). Values from VASP.

Properties
**Space-group type**: R3m
**VASP energy**: -3.39 eV per atom
**Density**: 2.85 g cm⁻³
**Fermi-level density of states**: 1.0 states/eV/f.u.

Quantum ESPRESSO input file:
```
&SYSTEM
  ibrav = 0, nat = 5, ntyp = 3
/
ATOMIC_SPECIES
P 30.97 P.upf
H 1.01 H.upf
I 126.90 I.upf
ATOMIC_POSITIONS crystal
P 0.000 0.000 0.000
H 0.203 0.203 0.896
H 0.203 0.896 0.203
H 0.896 0.203 0.203
I 0.534 0.534 0.534
CELL_PARAMETERS angstrom
3.605 2.081 2.083
-3.605 2.081 2.083
0.000 -4.162 2.083
```

3.
# Pr8P3HI4

A relaxed structure of Pr8P3HI4 (PBE, the Alexandria database). Values from VASP.

Properties
**Space-group type**: R-3m
**VASP energy**: -5.13 eV per atom
**Density**: 6.08 g cm⁻³
**Fermi-level density of states**: 9.3 states/eV/f.u.

Quantum ESPRESSO input file:
```
&SYSTEM
  ibrav = 0, nat = 16, ntyp = 4
/
ATOMIC_SPECIES
Pr 140.91 Pr.upf
P 30.97 P.upf
H 1.01 H.upf
I 126.90 I.upf
ATOMIC_POSITIONS crystal
Pr 0.230 0.230 0.230
Pr 0.243 0.722 0.722
Pr 0.278 0.278 0.757
Pr 0.278 0.757 0.278
Pr 0.722 0.243 0.722
Pr 0.722 0.722 0.243
Pr 0.757 0.278 0.278
Pr 0.770 0.770 0.770
P 0.000 0.000 0.500
P 0.000 0.500 0.000
P 0.500 0.000 0.000
H 0.500 0.500 0.500
I 0.000 0.000 0.000
I 0.000 0.500 0.500
I 0.500 0.000 0.500
I 0.500 0.500 0.000
CELL_PARAMETERS angstrom
4.194 2.422 7.750
-4.194 2.422 7.750
0.000 -4.843 7.750
```

Q: Number 3 is which compound?
A: Pr8P3HI4

Q: Which of these has the lowest Fermi-level density of states?
A: PH5I2